[1]
Crystalline RbAlIr3 at its relaxed geometry, computed with GGA-PBE.

```
RbAlIr3
1.0
4.693 0.000 0.000
0.000 4.693 0.000
0.000 0.000 4.693
Rb Al Ir
1 1 3
direct
0.000 0.000 0.000
0.500 0.500 0.500
0.000 0.500 0.500
0.500 0.000 0.500
0.500 0.500 0.000
```

Summary:
VASP energy	-25.69	eV for the cell shown
SG	Pm-3m

***

[2]
Crystalline Ag2Ru at its relaxed geometry, computed with GGA-PBE.

```
Ag2Ru
1.0
-1.321 2.166 9.621
1.321 -2.166 9.621
1.321 2.166 -9.621
Ag Ru
4 2
direct
0.290 0.040 0.250
0.435 0.185 0.250
0.565 0.815 0.750
0.710 0.960 0.750
0.140 0.390 0.750
0.860 0.610 0.250
```

Summary:
VASP energy	-25.37	eV for the cell shown
SG	Imma

***

[3]
Crystalline ZrPtI2N at its relaxed geometry, computed with GGA-PBE.

```
ZrPtI2N
1.0
5.844 0.000 0.000
0.000 5.844 0.000
0.000 0.000 3.945
Zr Pt I N
1 1 2 1
direct
0.000 0.000 0.000
0.500 0.500 0.500
0.000 0.500 0.000
0.500 0.000 0.000
0.000 0.000 0.500
```

Summary:
ΔE_f (raw)	421	meV per atom
VASP energy	-23.91	eV for the cell shown
SG	P4/mmm

***

[4]
Crystalline SmHg2Pd at its relaxed geometry, computed with GGA-PBE.

```
SmHg2Pd
1.0
4.341 0.000 0.000
0.000 4.341 0.000
0.000 0.000 4.878
Sm Hg Pd
1 2 1
direct
0.000 0.000 0.000
0.000 0.500 0.500
0.500 0.000 0.500
0.500 0.500 0.000
```

Summary:
VASP energy	-12.09	eV for the cell shown
SG	P4/mmm

***

[5]
Crystalline B6PdN6 at its relaxed geometry, computed with GGA-PBE.

```
B6PdN6
1.0
4.565 0.000 0.000
0.000 4.565 0.000
0.000 0.000 4.565
B Pd N
6 1 6
direct
0.000 0.248 0.500
0.000 0.752 0.500
0.248 0.500 0.000
0.500 0.000 0.248
0.500 0.000 0.752
0.752 0.500 0.000
0.000 0.000 0.000
0.000 0.500 0.253
0.000 0.500 0.747
0.253 0.000 0.500
0.500 0.253 0.000
0.500 0.747 0.000
0.747 0.000 0.500
```

Summary:
ΔE_f (raw)	-425	meV per atom
VASP energy	-100.73	eV for the cell shown
SG	Pm-3

***

Among the records above, which one has the highest VASP energy? SmHg2Pd

***

Which of these has the lowest VASP energy? B6PdN6

***

Copy entry 2 word for word.
Crystalline Ag2Ru at its relaxed geometry, computed with GGA-PBE.

```
Ag2Ru
1.0
-1.321 2.166 9.621
1.321 -2.166 9.621
1.321 2.166 -9.621
Ag Ru
4 2
direct
0.290 0.040 0.250
0.435 0.185 0.250
0.565 0.815 0.750
0.710 0.960 0.750
0.140 0.390 0.750
0.860 0.610 0.250
```

Summary:
VASP energy	-25.37	eV for the cell shown
SG	Imma

***

Which of these has the highest VASP energy? SmHg2Pd